1.
First-principles (PBE) data for an optimized crystal structure of Ce5Ge2Pb, as listed in Alexandria via LeMat-Bulk. Values from VASP.

Quantum ESPRESSO input file:
```
&SYSTEM
  ibrav = 0, nat = 16, ntyp = 3
/
ATOMIC_SPECIES
Ce 140.12 Ce.upf
Ge 72.64 Ge.upf
Pb 207.20 Pb.upf
CELL_PARAMETERS angstrom
-4.006 4.006 7.005
4.006 -4.006 7.005
4.006 4.006 -7.005
ATOMIC_POSITIONS crystal
Ce 0.000 0.000 0.000
Ce 0.012 0.512 0.808
Ce 0.205 0.012 0.500
Ce 0.295 0.795 0.808
Ce 0.488 0.295 0.500
Ce 0.500 0.500 0.000
Ce 0.512 0.705 0.500
Ce 0.705 0.205 0.192
Ce 0.795 0.988 0.500
Ce 0.988 0.488 0.192
Ge 0.147 0.353 0.500
Ge 0.353 0.853 0.206
Ge 0.647 0.147 0.794
Ge 0.853 0.647 0.500
Pb 0.250 0.250 0.000
Pb 0.750 0.750 0.000
```

Computed properties:
The total magnetization comes out at 7.07 μB per formula unit. The calculation puts the calculated total energy at -5.85 eV per atom. The value obtained for the density of states at the Fermi level is 22.50 states/eV/f.u. As for the formation energy: -0.528 eV per atom. As for the volume: 28.10 Å³ per atom. The calculated density is 7.8 g cm⁻³. Its space group is I4/mcm, No. 140.

---

2.
First-principles (PBE) data for an optimized crystal structure of LiCd3H, as listed in Alexandria via LeMat-Bulk. Values from VASP.

Quantum ESPRESSO input file:
```
&SYSTEM
  ibrav = 0, nat = 5, ntyp = 3
/
ATOMIC_SPECIES
Li 6.94 Li.upf
Cd 112.41 Cd.upf
H 1.01 H.upf
CELL_PARAMETERS angstrom
5.009 0.000 0.000
0.000 5.009 0.000
0.000 0.000 5.009
ATOMIC_POSITIONS crystal
Li 0.000 0.000 0.000
Cd 0.000 0.000 0.500
Cd 0.000 0.500 0.000
Cd 0.500 0.000 0.000
H 0.500 0.500 0.500
```

Computed properties:
The total magnetization comes out at 0.19 μB per formula unit. The calculation puts the calculated total energy at -1.01 eV per atom. The value obtained for the density of states at the Fermi level is 1.37 states/eV/f.u. As for the volume: 25.14 Å³ per atom. The calculated density is 4.6 g cm⁻³. Its space group is Pm-3m, No. 221.